# 1
# MgSc3Cr | the Alexandria database | PBE | relaxed
data_MgSc3Cr
_chemical_formula_sum 'Mg1 Sc3 Cr1'
_symmetry_space_group_name_H-M 'P 1'
_symmetry_Int_Tables_number 1
_cell_length_a 5.0565
_cell_length_b 5.0565
_cell_length_c 5.0565
_cell_angle_alpha 90.00
_cell_angle_beta 90.00
_cell_angle_gamma 90.00
loop_
_symmetry_equiv_pos_as_xyz
'x,y,z'
loop_
_atom_site_label
_atom_site_type_symbol
_atom_site_fract_x
_atom_site_fract_y
_atom_site_fract_z
Mg1 Mg 0.0000 0.0000 0.0000
Sc1 Sc 0.0000 0.0000 0.5000
Sc2 Sc 0.0000 0.5000 0.0000
Sc3 Sc 0.5000 0.0000 0.0000
Cr1 Cr 0.5000 0.5000 0.5000
# Space-group type = No. 221
# Total energy = -4.526 eV per atom

***

# 2
# MgSc2Cr | the Alexandria database | PBE | relaxed
data_MgSc2Cr
_chemical_formula_sum 'Mg2 Sc4 Cr2'
_symmetry_space_group_name_H-M 'P 1'
_symmetry_Int_Tables_number 1
_cell_length_a 7.1514
_cell_length_b 7.1514
_cell_length_c 7.1514
_cell_angle_alpha 122.99
_cell_angle_beta 122.99
_cell_angle_gamma 84.90
loop_
_symmetry_equiv_pos_as_xyz
'x,y,z'
loop_
_atom_site_label
_atom_site_type_symbol
_atom_site_fract_x
_atom_site_fract_y
_atom_site_fract_z
Mg1 Mg 0.3750 0.6250 0.7500
Mg2 Mg 0.6250 0.3750 0.2500
Sc1 Sc 0.0000 0.0000 0.0000
Sc2 Sc 0.0000 0.0000 0.5000
Sc3 Sc 0.0000 0.5000 0.0000
Sc4 Sc 0.5000 0.0000 0.5000
Cr1 Cr 0.1250 0.8750 0.2500
Cr2 Cr 0.8750 0.1250 0.7500
# Space-group type = No. 141
# Total energy = -4.695 eV per atom

***

# 3
# MgSc2Cr | the Alexandria database | PBE | relaxed
data_MgSc2Cr
_chemical_formula_sum 'Mg1 Sc2 Cr1'
_symmetry_space_group_name_H-M 'P 1'
_symmetry_Int_Tables_number 1
_cell_length_a 3.2519
_cell_length_b 3.2519
_cell_length_c 7.8391
_cell_angle_alpha 90.00
_cell_angle_beta 90.00
_cell_angle_gamma 90.00
loop_
_symmetry_equiv_pos_as_xyz
'x,y,z'
loop_
_atom_site_label
_atom_site_type_symbol
_atom_site_fract_x
_atom_site_fract_y
_atom_site_fract_z
Mg1 Mg 0.0000 0.0000 0.0000
Sc1 Sc 0.5000 0.5000 0.2917
Sc2 Sc 0.5000 0.5000 0.7083
Cr1 Cr 0.0000 0.0000 0.5000
# Space-group type = No. 123
# Total energy = -5.894 eV per atom